[1]
First-principles (PBE-GGA) data for a relaxed structure of CaYCl2, as listed in the Alexandria database.

Structure (POSCAR):
```
CaYCl2
1.0
3.586 0.000 0.000
0.000 3.585 0.004
0.000 3.579 8.921
Y Ca Cl
1 1 2
Direct
0.000 0.538 0.462 Y
0.500 0.710 0.790 Ca
0.000 0.060 0.940 Cl
0.500 0.192 0.309 Cl
```

***

[2]
First-principles (PBE-GGA) data for a relaxed structure of CaYCl2, as listed in the Alexandria database.

Structure (POSCAR):
```
CaYCl2
1.0
4.143 -2.462 -1.331
-0.032 -4.993 -0.256
0.236 -2.277 -4.445
Y Ca Cl
1 1 2
Direct
0.500 0.500 0.500 Y
0.000 0.000 0.000 Ca
0.250 0.250 0.250 Cl
0.750 0.750 0.750 Cl
```

***

| no. | excess energy over the best structure of this formula in the dataset (meV/atom) | DOS at the Fermi energy (states/eV per cell) |
| --- | --- | --- |
| 1 | 0 | 2.297 |
| 2 | 506 | 2.469 |